Material: MgNi3Pt6
Method: DFT, PBE
State: optimized geometry

a b c (Å): 8.455 3.908 8.712
angles (deg): 90.00 92.10 90.00
Space group P2_1/m (No. 11)
Asymmetric unit:
Mg: 0.057 0.250 0.394 (multiplicity 2)
Ni: 0.254 0.250 0.005 (multiplicity 2)
Ni: 0.348 0.750 0.809 (multiplicity 2)
Ni: 0.448 0.250 0.605 (multiplicity 2)
Pt: 0.056 0.750 0.904 (multiplicity 2)
Pt: 0.156 0.750 0.204 (multiplicity 2)
Pt: 0.160 0.250 0.706 (multiplicity 2)
Pt: 0.264 0.750 0.511 (multiplicity 2)
Pt: 0.368 0.250 0.306 (multiplicity 2)
Pt: 0.458 0.750 0.101 (multiplicity 2)

Computed properties:
E in eV per atom: -5.76
V in Å³/cell: 287.67
ΔE_f in eV per atom: -0.247
DOS(E_F) in states/eV per cell: 30.0